Material: CaH5Rh
Method: DFT, PBE
State: optimized geometry

The structure belongs to space group Immm (No. 71); the cell edges are 3.537, 5.674 and 7.619 Å and the angles 90.00°, 90.00° and 90.00°. Symmetry generates all atoms from Ca at (0.000, 0.000, 0.000), H at (0.000, 0.000, 0.285), H at (0.000, 0.288, 0.500), H at (0.000, 0.500, 0.000) and Rh at (0.000, 0.000, 0.500).

The calculation puts the magnetic moment at 0.000 μB/f.u. Its volume is 152.9 Å³ per cell. The calculation puts the mass density at 3.2 g/cm3. The energy comes out at -3.97 eV/atom.